A geometry-optimized InTc2Cl structure, computed with PBE.

Results
relative energy among the computed polymorphs	0.607	eV per atom
SG	Immm, No. 71

Geometry as POSCAR:
```
InTc2Cl
1.0
2.896 0.000 0.000
0.000 5.095 0.000
0.000 0.000 9.044
In Tc Cl
2 4 2
direct
0.000 0.000 0.000
0.500 0.500 0.500
0.000 0.500 0.227
0.000 0.500 0.773
0.500 0.000 0.273
0.500 0.000 0.727
0.000 0.000 0.500
0.500 0.500 0.000
```